# 1
First-principles (PBE) data for a relaxed structure of La2ScCl, as listed in the Alexandria database.

Calculated values
E_form (uncorrected): -0.63 eV per atom
Relative energy among the computed polymorphs: 0.0039 eV per atom
Magnetization: 0.00 μB/cell
SG: R3m
DOS(E_F): 3.59 states/eV per cell
Total DFT energy (no corrections): -5.135 eV/atom

abc: 10.2178 10.2178 10.2178
angles: 20.41 20.41 20.41
Closest atoms and distances in Å follow each position.
Element x y z (fractional)
La1 0.0000 0.0000 0.0000  3 Cl 3.17
La2 0.2307 0.2307 0.2307  3 Sc 3.37, 9 La 3.62-3.72
Sc1 0.4758 0.4758 0.4758  3 Cl 2.82
Cl1 0.7461 0.7461 0.7461  3 Sc 2.82

# 2
First-principles (PBE) data for a relaxed structure of Rb3SrTl3Br8, as listed in the Alexandria database.

Calculated values
E_form (uncorrected): -1.48 eV per atom
Magnetization: 0.00 μB/cell
SG: R-3m
DOS(E_F): 0.00 states/eV per cell
Total DFT energy (no corrections): -3.148 eV/atom

abc: 9.7872 9.7872 9.7872
angles: 58.89 58.89 58.89
Closest atoms and distances in Å follow each position.
Element x y z (fractional)
Rb1 0.0000 0.5000 0.5000  6 Br 3.46-3.49
Rb2 0.5000 0.0000 0.5000  6 Br 3.46-3.49
Rb3 0.5000 0.5000 0.0000  6 Br 3.46-3.49
Sr1 0.5000 0.5000 0.5000  6 Br 3.08
Tl1 0.0000 0.0000 0.5000  6 Br 3.40-3.41
Tl2 0.0000 0.5000 0.0000  6 Br 3.40-3.41
Tl3 0.5000 0.0000 0.0000  6 Br 3.40-3.41
Br1 0.2477 0.2477 0.2477  3 Tl 3.40, 3 Rb 3.46
Br2 0.2706 0.7246 0.7246  1 Sr 3.08, 2 Tl 3.41
Br3 0.2754 0.2754 0.7294  1 Sr 3.08, 2 Tl 3.41
Br4 0.2754 0.7294 0.2754  1 Sr 3.08, 2 Tl 3.41
Br5 0.7246 0.2706 0.7246  1 Sr 3.08, 2 Tl 3.41
Br6 0.7246 0.7246 0.2706  1 Sr 3.08, 2 Tl 3.41
Br7 0.7294 0.2754 0.2754  1 Sr 3.08, 2 Tl 3.41
Br8 0.7523 0.7523 0.7523  3 Tl 3.40, 3 Rb 3.46

# 3
First-principles (PBE) data for a relaxed structure of NdSmDy2Sb4, as listed in the Alexandria database.

Calculated values
E_form (uncorrected): -1.16 eV per atom
Magnetization: 0.00 μB/cell
SG: P2/m
DOS(E_F): 1.08 states/eV per cell
Total DFT energy (no corrections): -5.553 eV/atom

abc: 7.6896 4.4448 7.6943
angles: 90.00 109.49 90.00
Closest atoms and distances in Å follow each position.
Element x y z (fractional)
Nd1 0.0000 0.0000 0.0000  6 Sb 3.18
Sm1 0.0000 0.5000 0.5000  6 Sb 3.16-3.17
Dy1 0.5000 0.0000 0.5000  6 Sb 3.10
Dy2 0.5000 0.5000 0.0000  6 Sb 3.12
Sb1 0.2568 0.0000 0.7508  3 Dy 3.10-3.12, 2 Sm 3.17, 1 Nd 3.18
Sb2 0.2578 0.5000 0.2541  3 Dy 3.10-3.12, 1 Sm 3.16, 2 Nd 3.18
Sb3 0.7422 0.5000 0.7459  3 Dy 3.10-3.12, 1 Sm 3.16, 2 Nd 3.18
Sb4 0.7432 0.0000 0.2492  3 Dy 3.10-3.12, 2 Sm 3.17, 1 Nd 3.18

# 4
First-principles (PBE) data for a relaxed structure of PrHoZn2, as listed in the Alexandria database.

Calculated values
Relative energy among the computed polymorphs: 0.2218 eV per atom
Magnetization: 0.00 μB/cell
Formation energy: -0.10 eV/atom
SG: R-3m
DOS(E_F): 4.57 states/eV per cell
Total DFT energy (no corrections): -3.072 eV/atom

abc: 9.3354 9.3354 9.3354
angles: 22.53 22.53 22.53
Closest atoms and distances in Å follow each position.
Element x y z (fractional)
Pr1 0.0000 0.0000 0.0000  6 Zn 3.18
Ho1 0.5000 0.5000 0.5000  6 Zn 3.02
Zn1 0.2458 0.2458 0.2458  3 Ho 3.02, 3 Pr 3.18
Zn2 0.7542 0.7542 0.7542  3 Ho 3.02, 3 Pr 3.18